A plane-wave DFT calculation with GGA-PBE was carried out for a relaxed structure of Mg2AuSe.

The calculation puts the spin magnetization at 0.000 μB per formula unit. The calculation puts the uncorrected formation energy at -0.666 eV/atom. The calculation puts the density of states at the Fermi level at 1.5 states/eV/f.u.

It has space group Amm2 (No. 38), with a = 5.6768 Å, b = 5.5000 Å, c = 5.5002 Å, α = 90.00°, β = 90.00° and γ = 90.00°. The inequivalent atoms are Mg at (0.0000, 0.0000, 0.0000), Mg at (0.5000, 0.0000, 0.4990), Au at (0.5000, 0.0000, 0.9989) and Se at (0.0000, 0.0000, 0.5001).



A plane-wave DFT calculation with GGA-PBE was carried out for a relaxed structure of TbGe2Rh4.

The calculation puts the spin magnetization at 0.000 μB per formula unit. The calculation puts the relative energy among the computed polymorphs at 316 meV per atom. The calculation puts the density of states at the Fermi level at 6.4 states/eV/f.u.

It has space group Immm (No. 71), with a = 3.8221 Å, b = 3.9346 Å, c = 16.3665 Å, α = 90.00°, β = 90.00° and γ = 90.00°. The inequivalent atoms are Tb at (0.0000, 0.0000, 0.0000), Ge at (0.0000, 0.5000, 0.1481), Rh at (0.0000, 0.0000, 0.2546) and Rh at (0.0000, 0.5000, 0.3750).



A plane-wave DFT calculation with GGA-PBE was carried out for a relaxed structure of TcSbAs.

The calculation puts the spin magnetization at 0.000 μB per formula unit. The calculation puts the relative energy among the computed polymorphs at 397 meV per atom. The calculation puts the uncorrected formation energy at 0.286 eV/atom. The calculation puts the density of states at the Fermi level at 2.2 states/eV/f.u.

It has space group P-6m2 (No. 187), with a = 4.4124 Å, b = 4.4124 Å, c = 3.3589 Å, α = 90.00°, β = 90.00° and γ = 120.00°. The inequivalent atoms are Tc at (0.0000, 0.0000, 0.0000), Sb at (0.3333, 0.6667, 0.5000) and As at (0.6667, 0.3333, 0.0000).



Question: Which value of spin magnetization does entry 1 give?
Answer: 0.000 μB per formula unit



Question: What is the formula in the second record?
Answer: TbGe2Rh4